A geometry-optimized FeCu2W structure. Source: the Alexandria database, functional GGA-PBE.

a = 2.5801 Å, b = 3.8682 Å, c = 5.2166 Å
α = 90.00°, β = 90.00°, γ = 90.00°
Closest atoms and distances in Å follow each position.
Fractional coordinates of all 4 atoms:
Cu (0.0000, 0.0000, 0.0094)  4 Cu 2.51-2.71, 4 Fe 2.64, 4 W 2.69
Cu (0.0000, 0.0000, 0.4906)  4 Cu 2.51-2.71, 4 Fe 2.64, 4 W 2.69
Fe (0.5000, 0.5000, 0.2500)  2 Fe 2.58, 2 W 2.61, 8 Cu 2.64
W (0.5000, 0.5000, 0.7500)  2 W 2.58, 2 Fe 2.61, 8 Cu 2.69

Offset from the most stable computed form   10.5 kJ per mole of atoms
DFT total energy   -7.087 eV per atom
M_tot   2.05 μB per cell
Calculated volume   52.1 Å³/cell